No. 1
Entry from Alexandria: a geometry-optimized PaP3O12 structure (PBE).

Calculated values
- SG = R3c

Cell: 9.290 9.290 9.541 Å, 60.87 60.87 60.00°
Each line ends with the local moment (μB).
Fractional positions:
Pa 0.059 0.059 0.822  -0.01
Pa 0.559 0.559 0.322  -0.01
P 0.662 0.384 0.001  -0.03
P 0.162 0.453 0.501  -0.03
P 0.884 0.162 0.501  -0.03
P 0.384 0.953 0.001  -0.03
P 0.953 0.662 0.001  -0.03
P 0.453 0.884 0.501  -0.03
O 0.226 0.969 0.970  0.04
O 0.146 0.284 0.656  0.04
O 0.856 0.000 0.527  0.55
O 0.657 0.550 0.844  0.51
O 0.157 0.450 0.344  0.51
O 0.356 0.117 0.027  0.55
O 0.646 0.415 0.156  0.04
O 0.000 0.617 0.527  0.55
O 0.726 0.335 0.470  0.04
O 0.915 0.146 0.656  0.04
O 0.050 0.157 0.344  0.51
O 0.335 0.469 0.470  0.04
O 0.117 0.500 0.027  0.55
O 0.835 0.226 0.970  0.04
O 0.550 0.950 0.844  0.51
O 0.415 0.784 0.156  0.04
O 0.784 0.646 0.156  0.04
O 0.500 0.356 0.027  0.55
O 0.469 0.726 0.470  0.04
O 0.950 0.657 0.844  0.51
O 0.450 0.050 0.344  0.51
O 0.969 0.835 0.970  0.04
O 0.284 0.915 0.656  0.04
O 0.617 0.856 0.527  0.55

=====

No. 2
Entry from Alexandria: a geometry-optimized Pa2P2O structure (PBE).

Calculated values
- SG = Cmc2_1

Cell: 3.896 6.749 7.717 Å, 90.00 104.62 90.00°
Each line ends with the local moment (μB).
Fractional positions:
Pa 0.442 0.422 0.884  0.11
Pa 0.831 0.003 0.661  0.11
Pa 0.169 0.503 0.339  0.11
Pa 0.558 0.922 0.116  0.11
P 0.965 0.716 0.929  -0.01
P 0.800 0.419 0.599  -0.01
P 0.200 0.919 0.401  -0.01
P 0.035 0.216 0.071  -0.01
O 0.399 0.075 0.798  0.00
O 0.601 0.575 0.202  0.00

=====

No. 3
Entry from Alexandria: a geometry-optimized PaPO structure (PBE).

Calculated values
- SG = P-6m2

Cell: 3.995 3.850 3.850 Å, 120.00 90.00 90.00°
Fractional positions:
P 0.667 0.333 0.667
Pa 0.167 0.667 0.333
O 0.167 0.000 0.000

=====

No. 4
Entry from Alexandria: a geometry-optimized PaPO6 structure (PBE).

Calculated values
- SG = C2/m

Cell: 4.976 5.100 4.826 Å, 83.52 76.62 60.80°
Each line ends with the local moment (μB).
Fractional positions:
Pa 0.000 0.000 0.000  -0.04
P 0.500 0.000 0.500  -0.01
O 0.824 0.732 0.288  0.19
O 0.556 0.268 0.288  0.19
O 0.444 0.732 0.712  0.19
O 0.176 0.268 0.712  0.19
O 0.272 0.000 0.292  0.28
O 0.728 0.000 0.708  0.28

=====

no.,ΔE_f (raw) (meV/atom)
1,-1900
2,-1811
3,-2219
4,-1999